1.
# ZrNb2Re

A relaxed structure of ZrNb2Re (GGA-PBE, Alexandria).

abc: 4.6615 4.6615 3.2980
angles: 90.00 90.00 90.00
With the nearest neighbours (Å) after each atom.
Space group P4/mmm (No. 123)
Asymmetric unit:
1 Zr 0.0000 0.0000 0.0000  8 Nb 2.86
2 Nb 0.0000 0.5000 0.5000  4 Zr 2.86, 4 Re 2.86
3 Re 0.5000 0.5000 0.0000  8 Nb 2.86

Computed properties:
ΔH_f (0 K): -0.19 eV per formula unit
Spin magnetization: 0.00 μB/cell
DFT total energy: -10.3316 eV/atom



2.
# Pr3Mg3Sc2

A relaxed structure of Pr3Mg3Sc2 (GGA-PBE, Alexandria).

abc: 3.7132 5.5180 22.1842
angles: 90.00 90.00 90.00
With the nearest neighbours (Å) after each atom.
Space group Immm (No. 71)
Asymmetric unit:
1 Pr 0.0000 0.0000 0.0000  8 Mg 3.33-3.37, 2 Pr 3.71
2 Pr 0.0000 0.5000 0.1300  6 Mg 3.33-3.43, 4 Sc 3.46-3.66, 2 Pr 3.71
3 Mg 0.0000 0.0000 0.5000  8 Pr 3.33-3.43, 2 Mg 3.71
4 Mg 0.0000 0.5000 0.3734  2 Sc 3.10, 6 Pr 3.33-3.37
5 Sc 0.0000 0.0000 0.2386  2 Mg 3.10, 4 Sc 3.36, 2 Pr 3.46

Computed properties:
ΔH_f (0 K): -0.32 eV per formula unit
Spin magnetization: 0.00 μB/cell
DFT total energy: -4.0137 eV/atom